# 1
! Li2CaRh (SCAN, single point on PBEsol structure); values from VASP
! **Offset from the most stable computed form**: 56 meV per atom
! **DFT formation energy**: -2.52 kcal/mol of atoms
! **Total DFT energy (no corrections)**: -12.163 eV per atom
&SYSTEM
  ibrav = 0, nat = 4, ntyp = 3
/
ATOMIC_SPECIES
Li 6.94 Li.upf
Rh 102.91 Rh.upf
Ca 40.08 Ca.upf
CELL_PARAMETERS angstrom
-2.311 -1.703 1.659
-0.049 -2.830 -2.972
5.269 -2.062 1.876
ATOMIC_POSITIONS crystal
Li 0.555 0.500 0.238
Rh 0.678 0.000 0.479
Ca 0.276 0.500 0.675
Li 0.990 0.000 0.108

=====

# 2
! Tm2CuAu (SCAN, single point on PBEsol structure); values from VASP
! **DFT formation energy**: -17.28 kcal/mol of atoms
! **Total DFT energy (no corrections)**: -47.754 eV per atom
&SYSTEM
  ibrav = 0, nat = 4, ntyp = 3
/
ATOMIC_SPECIES
Tm 168.93 Tm.upf
Cu 63.55 Cu.upf
Au 196.97 Au.upf
CELL_PARAMETERS angstrom
-4.435 1.649 1.101
-3.916 -2.683 -1.035
-2.542 -2.072 3.584
ATOMIC_POSITIONS crystal
Tm 0.750 0.750 0.750
Cu 0.500 0.500 0.500
Tm 0.250 0.250 0.250
Au 0.000 0.000 0.000

=====

# 3
! ReSi2Sb (SCAN, single point on PBEsol structure); values from VASP
! **Formation energy (no corrections)**: 2.86 eV per formula unit
! **Total DFT energy (no corrections)**: -31.383 eV per atom
&SYSTEM
  ibrav = 0, nat = 4, ntyp = 3
/
ATOMIC_SPECIES
Si 28.09 Si.upf
Sb 121.76 Sb.upf
Re 186.21 Re.upf
CELL_PARAMETERS angstrom
2.932 0.008 0.000
-1.296 2.630 0.000
0.000 0.000 8.961
ATOMIC_POSITIONS crystal
Si 0.500 0.500 0.739
Si 0.000 0.000 0.956
Sb 0.500 0.500 0.270
Re 0.000 0.000 0.535

=====

# 4
! LiRhAu2 (SCAN, single point on PBEsol structure); values from VASP
! **DFT formation energy**: -7.37 kcal/mol of atoms
! **Total DFT energy (no corrections)**: -43.938 eV per atom
&SYSTEM
  ibrav = 0, nat = 4, ntyp = 3
/
ATOMIC_SPECIES
Li 6.94 Li.upf
Rh 102.91 Rh.upf
Au 196.97 Au.upf
CELL_PARAMETERS angstrom
2.766 0.000 0.000
0.000 4.715 -0.009
0.000 -1.106 4.583
ATOMIC_POSITIONS crystal
Li 0.500 0.000 0.000
Rh 0.500 0.500 0.500
Au 0.000 0.500 0.000
Au 0.000 0.000 0.500

=====

# 5
! Ca4Mg2Zn3 (SCAN, single point on PBEsol structure); values from VASP
! **DFT formation energy**: -3.36 kcal/mol of atoms
! **Total DFT energy (no corrections)**: -10.051 eV per atom
&SYSTEM
  ibrav = 0, nat = 9, ntyp = 3
/
ATOMIC_SPECIES
Ca 40.08 Ca.upf
Zn 65.41 Zn.upf
Mg 24.30 Mg.upf
CELL_PARAMETERS angstrom
3.632 0.000 0.000
0.000 7.791 -0.011
-1.816 -2.396 8.363
ATOMIC_POSITIONS crystal
Ca 0.437 0.148 0.874
Ca 0.563 0.852 0.126
Ca 0.256 0.771 0.511
Zn 0.000 0.500 0.000
Zn 0.089 0.181 0.178
Mg 0.614 0.464 0.229
Zn 0.911 0.819 0.822
Ca 0.744 0.229 0.489
Mg 0.386 0.536 0.771

=====

# 6
! Ca2AgP (SCAN, single point on PBEsol structure); values from VASP
! **DFT formation energy**: -18.65 kcal/mol of atoms
! **Total DFT energy (no corrections)**: -16.082 eV per atom
&SYSTEM
  ibrav = 0, nat = 4, ntyp = 3
/
ATOMIC_SPECIES
Ca 40.08 Ca.upf
P 30.97 P.upf
Ag 107.87 Ag.upf
CELL_PARAMETERS angstrom
4.043 0.000 0.000
0.000 4.247 0.000
-2.022 0.000 5.411
ATOMIC_POSITIONS crystal
Ca 0.269 0.000 0.538
P 0.547 0.000 0.095
Ca 0.988 0.500 0.975
Ag 0.696 0.500 0.392

=====

# 7
! LiOsSCl2 (SCAN, single point on PBEsol structure); values from VASP
! **Formation energy (no corrections)**: 3.41 eV per formula unit
! **Total DFT energy (no corrections)**: -19.289 eV per atom
&SYSTEM
  ibrav = 0, nat = 5, ntyp = 4
/
ATOMIC_SPECIES
Cl 35.45 Cl.upf
Os 190.23 Os.upf
S 32.06 S.upf
Li 6.94 Li.upf
CELL_PARAMETERS angstrom
-3.662 -1.612 -1.204
-0.737 -1.252 3.918
-2.249 4.381 0.977
ATOMIC_POSITIONS crystal
Cl 0.500 0.000 0.000
Os 0.500 0.500 0.500
S 0.000 0.000 0.500
Li 0.000 0.000 0.000
Cl 0.000 0.500 0.000

=====

# 8
! MnCo2P (SCAN, single point on PBEsol structure); values from VASP
! **DFT formation energy**: -1.86 kcal/mol of atoms
! **Total DFT energy (no corrections)**: -15.896 eV per atom
&SYSTEM
  ibrav = 0, nat = 4, ntyp = 3
/
ATOMIC_SPECIES
P 30.97 P.upf
Co 58.93 Co.upf
Mn 54.94 Mn.upf
CELL_PARAMETERS angstrom
-1.606 -1.902 -0.533
2.703 -1.874 -1.461
1.638 -0.972 4.277
ATOMIC_POSITIONS crystal
P 0.500 0.500 0.500
Co 0.129 0.000 0.259
Co 0.871 0.000 0.741
Mn 0.500 0.500 0.000

=====

# 9
! Cs2CrCuIr (SCAN, single point on PBEsol structure); values from VASP
! **DFT formation energy**: 26.99 kcal/mol of atoms
! **Total DFT energy (no corrections)**: -34.890 eV per atom
&SYSTEM
  ibrav = 0, nat = 5, ntyp = 4
/
ATOMIC_SPECIES
Cu 63.55 Cu.upf
Cr 52.00 Cr.upf
Cs 132.91 Cs.upf
Ir 192.22 Ir.upf
CELL_PARAMETERS angstrom
4.624 0.000 0.000
0.000 6.317 0.000
0.000 0.000 6.317
ATOMIC_POSITIONS crystal
Cu 0.000 0.000 0.000
Cr 0.500 0.500 0.500
Cs 0.000 0.500 0.000
Cs 0.000 0.000 0.500
Ir 0.500 0.000 0.000

=====

# 10
! ZrSi2Br (SCAN, single point on PBEsol structure); values from VASP
! **Formation energy (no corrections)**: 0.69 eV per formula unit
! **Offset from the most stable computed form**: 419 meV per atom
! **Total DFT energy (no corrections)**: -17.375 eV per atom
&SYSTEM
  ibrav = 0, nat = 4, ntyp = 3
/
ATOMIC_SPECIES
Si 28.09 Si.upf
Zr 91.22 Zr.upf
Br 79.90 Br.upf
CELL_PARAMETERS angstrom
3.031 0.000 0.000
0.000 5.027 -0.036
0.000 -1.696 4.733
ATOMIC_POSITIONS crystal
Si 0.000 0.500 0.000
Si 0.000 0.000 0.500
Zr 0.500 0.000 0.000
Br 0.500 0.500 0.500

=====

# 11
! HgPb2Au (SCAN, single point on PBEsol structure); values from VASP
! **Offset from the most stable computed form**: 199 meV per atom
! **DFT formation energy**: 3.56 kcal/mol of atoms
! **Total DFT energy (no corrections)**: -72.067 eV per atom
&SYSTEM
  ibrav = 0, nat = 4, ntyp = 3
/
ATOMIC_SPECIES
Pb 207.20 Pb.upf
Au 196.97 Au.upf
Hg 200.59 Hg.upf
CELL_PARAMETERS angstrom
-1.726 -4.328 -2.215
-0.922 -4.181 2.879
-4.852 -1.555 0.811
ATOMIC_POSITIONS crystal
Pb 0.000 0.000 0.000
Pb 0.750 0.750 0.750
Au 0.500 0.500 0.500
Hg 0.250 0.250 0.250

=====

# 12
! LaRe2IrF (SCAN, single point on PBEsol structure); values from VASP
! **Formation energy (no corrections)**: 4.45 eV per formula unit
! **Total DFT energy (no corrections)**: -51.098 eV per atom
&SYSTEM
  ibrav = 0, nat = 5, ntyp = 4
/
ATOMIC_SPECIES
Re 186.21 Re.upf
F 19.00 F.upf
La 138.91 La.upf
Ir 192.22 Ir.upf
CELL_PARAMETERS angstrom
4.115 0.000 0.000
0.000 4.115 0.000
0.000 0.000 5.027
ATOMIC_POSITIONS crystal
Re 0.500 0.000 0.000
F 0.000 0.000 0.000
La 0.500 0.500 0.500
Re 0.000 0.500 0.000
Ir 0.000 0.000 0.500

=====

# 13
! CrRuO2 (SCAN, single point on PBEsol structure); values from VASP
! **Formation energy (no corrections)**: -3.38 eV per formula unit
! **Offset from the most stable computed form**: 0 meV per atom
! **Total DFT energy (no corrections)**: -17.263 eV per atom
&SYSTEM
  ibrav = 0, nat = 4, ntyp = 3
/
ATOMIC_SPECIES
Cr 52.00 Cr.upf
Ru 101.07 Ru.upf
O 16.00 O.upf
CELL_PARAMETERS angstrom
2.820 0.000 0.000
1.410 2.442 0.000
1.410 0.814 6.317
ATOMIC_POSITIONS crystal
Cr 0.000 0.000 0.000
Ru 0.500 0.500 0.500
O 0.100 0.100 0.700
O 0.900 0.900 0.300

=====

# 14
! MnF3 (SCAN, single point on PBEsol structure); values from VASP
! **Formation energy (no corrections)**: -11.28 eV per formula unit
! **Total DFT energy (no corrections)**: -10.038 eV per atom
&SYSTEM
  ibrav = 0, nat = 8, ntyp = 2
/
ATOMIC_SPECIES
F 19.00 F.upf
Mn 54.94 Mn.upf
CELL_PARAMETERS angstrom
-3.210 0.551 -1.990
-2.903 -1.477 4.276
-0.153 5.114 1.663
ATOMIC_POSITIONS crystal
F 0.500 0.226 0.774
F 0.500 0.726 0.726
F 0.500 0.774 0.226
F 0.000 0.000 0.500
F 0.000 0.500 0.000
Mn 0.500 0.500 0.000
Mn 0.500 0.000 0.500
F 0.500 0.274 0.274

=====

# 15
! SrMnOsCl2 (SCAN, single point on PBEsol structure); values from VASP
! **Formation energy (no corrections)**: 1.96 eV per formula unit
! **Total DFT energy (no corrections)**: -25.281 eV per atom
&SYSTEM
  ibrav = 0, nat = 5, ntyp = 4
/
ATOMIC_SPECIES
Cl 35.45 Cl.upf
Sr 87.62 Sr.upf
Mn 54.94 Mn.upf
Os 190.23 Os.upf
CELL_PARAMETERS angstrom
5.254 0.000 0.000
0.000 5.254 0.000
0.000 0.000 6.271
ATOMIC_POSITIONS crystal
Cl 0.500 0.000 0.000
Sr 0.000 0.000 0.000
Mn 0.500 0.500 0.500
Cl 0.000 0.500 0.000
Os 0.000 0.000 0.500

=====

# 16
! Li3Mn3TeO8 (SCAN, single point on PBEsol structure); values from VASP
! **Formation energy (no corrections)**: -28.55 eV per formula unit
! **Offset from the most stable computed form**: 1 meV per atom
! **Total DFT energy (no corrections)**: -11.839 eV per atom
&SYSTEM
  ibrav = 0, nat = 30, ntyp = 4
/
ATOMIC_SPECIES
Li 6.94 Li.upf
O 16.00 O.upf
Te 127.60 Te.upf
Mn 54.94 Mn.upf
CELL_PARAMETERS angstrom
6.045 0.000 -0.009
0.000 6.229 0.000
-0.309 0.000 8.487
ATOMIC_POSITIONS crystal
Li 0.250 0.754 0.250
O 0.789 0.230 0.011
O 0.711 0.230 0.489
Te 0.750 0.746 0.250
O 0.765 0.748 0.479
Mn 0.750 0.250 0.250
O 0.021 0.030 0.761
Mn 0.250 0.750 0.750
O 0.289 0.770 0.511
O 0.977 0.523 0.253
O 0.979 0.970 0.239
O 0.479 0.030 0.739
O 0.521 0.970 0.261
O 0.735 0.748 0.021
Mn 0.500 0.000 0.500
Li 0.500 0.500 0.000
Li 0.750 0.246 0.750
O 0.023 0.477 0.747
O 0.211 0.770 0.989
Te 0.250 0.254 0.750
Mn 0.000 0.500 0.000
O 0.523 0.523 0.247
Li 0.000 0.500 0.500
Mn 0.500 0.500 0.500
O 0.477 0.477 0.753
O 0.265 0.252 0.979
Mn 0.000 0.000 0.000
Li 0.000 0.000 0.500
O 0.235 0.252 0.521
Li 0.500 0.000 0.000

=====

# 17
! HgPtAu2 (SCAN, single point on PBEsol structure); values from VASP
! **DFT formation energy**: 3.25 kcal/mol of atoms
! **Total DFT energy (no corrections)**: -69.027 eV per atom
&SYSTEM
  ibrav = 0, nat = 4, ntyp = 3
/
ATOMIC_SPECIES
Au 196.97 Au.upf
Pt 195.08 Pt.upf
Hg 200.59 Hg.upf
CELL_PARAMETERS angstrom
-2.874 0.354 0.097
-1.599 -1.618 1.795
-0.456 6.106 7.437
ATOMIC_POSITIONS crystal
Au 0.746 0.746 0.761
Au 0.254 0.254 0.239
Pt 0.000 0.000 0.000
Hg 0.500 0.500 0.500

=====

# 18
! ZrTaBr4 (SCAN, single point on PBEsol structure); values from VASP
! **Formation energy (no corrections)**: 7.84 eV per formula unit
! **Total DFT energy (no corrections)**: -27.880 eV per atom
&SYSTEM
  ibrav = 0, nat = 6, ntyp = 3
/
ATOMIC_SPECIES
Ta 180.95 Ta.upf
Br 79.90 Br.upf
Zr 91.22 Zr.upf
CELL_PARAMETERS angstrom
5.776 0.000 0.000
2.888 5.002 0.000
2.888 1.667 4.716
ATOMIC_POSITIONS crystal
Ta 0.750 0.750 0.750
Br 0.375 0.375 0.875
Br 0.875 0.375 0.375
Br 0.375 0.375 0.375
Zr 0.000 0.000 0.000
Br 0.375 0.875 0.375

=====

# 19
! Tb2Al17 (SCAN, single point on PBEsol structure); values from VASP
! **DFT formation energy**: -2.80 kcal/mol of atoms
! **Total DFT energy (no corrections)**: -11.979 eV per atom
&SYSTEM
  ibrav = 0, nat = 38, ntyp = 2
/
ATOMIC_SPECIES
Al 26.98 Al.upf
Tb 158.93 Tb.upf
CELL_PARAMETERS angstrom
-6.251 -1.837 5.946
-2.844 -7.288 -5.242
6.622 -1.234 6.581
ATOMIC_POSITIONS crystal
Al 0.750 0.365 0.038
Al 0.000 0.000 0.500
Al 0.024 0.327 0.164
Al 0.476 0.836 0.164
Al 0.976 0.673 0.836
Al 0.000 0.500 0.000
Al 0.500 0.000 0.500
Al 0.250 0.635 0.673
Al 0.250 0.038 0.365
Al 0.500 0.500 0.000
Al 0.024 0.836 0.164
Al 0.476 0.327 0.164
Al 0.601 0.667 0.333
Al 0.976 0.164 0.327
Al 0.750 0.365 0.327
Al 0.524 0.673 0.836
Al 0.750 0.962 0.635
Al 0.899 0.667 0.333
Al 0.000 0.500 0.500
Tb 0.250 0.667 0.333
Al 0.399 0.333 0.667
Al 0.750 0.673 0.635
Al 0.500 0.500 0.500
Al 0.976 0.164 0.836
Al 0.476 0.836 0.673
Al 0.524 0.164 0.327
Tb 0.750 0.000 0.000
Al 0.750 0.673 0.038
Al 0.101 0.333 0.667
Al 0.250 0.038 0.673
Tb 0.250 0.000 0.000
Al 0.250 0.327 0.962
Tb 0.750 0.333 0.667
Al 0.750 0.962 0.327
Al 0.024 0.836 0.673
Al 0.250 0.327 0.365
Al 0.524 0.164 0.836
Al 0.250 0.635 0.962

=====

# 20
! KMgBe2 (SCAN, single point on PBEsol structure); values from VASP
! **DFT formation energy**: 14.19 kcal/mol of atoms
! **Total DFT energy (no corrections)**: -4.887 eV per atom
&SYSTEM
  ibrav = 0, nat = 4, ntyp = 3
/
ATOMIC_SPECIES
K 39.10 K.upf
Be 9.01 Be.upf
Mg 24.30 Mg.upf
CELL_PARAMETERS angstrom
-1.097 2.423 0.888
-4.128 -3.173 -0.867
1.768 -1.351 5.868
ATOMIC_POSITIONS crystal
K 0.516 0.031 0.530
Be 0.970 0.940 0.013
Mg 0.695 0.390 0.096
Be 0.320 0.639 0.860